[1]
# HfFeAs2P, single point on PBEsol structure, DFT SCAN
# SG: P4/mmm
# ρ (kg/m3): 7628
# E_form (eV/atom): 0.169
# Energy relative to the lowest polymorph listed for this composition (eV/atom): 0.000
# Raw total energy (eV/atom): -26.15
# Total magnetization (μB/f.u.): 0.0
data_HfFeAs2P
_chemical_formula_sum 'Hf1 Fe1 As2 P1'
_cell_length_a 4.243
_cell_length_b 4.243
_cell_length_c 5.020
_cell_angle_alpha 90.00
_cell_angle_beta 90.00
_cell_angle_gamma 90.00
_symmetry_space_group_name_H-M 'P 1'
_symmetry_Int_Tables_number 1
_symmetry_space_group_name_Hall 'P 1'
loop_
_atom_site_label
_atom_site_type_symbol
_atom_site_fract_x
_atom_site_fract_y
_atom_site_fract_z
_atom_site_occupancy
P1 P 0.500 0.500 0.500 1
As1 As 0.000 0.500 0.000 1
As2 As 0.500 0.000 0.000 1
Hf1 Hf 0.000 0.000 0.500 1
Fe1 Fe 0.000 0.000 0.000 1

=====

[2]
# KSbP, single point on PBEsol structure, DFT SCAN
# SG: F-43m
# ρ (kg/m3): 3701
# Raw total energy (eV/atom): -17.90
# Total magnetization (μB/f.u.): 0.0
# Formation energy from raw total energies (eV per formula unit): 2.289
data_KSbP
_chemical_formula_sum 'K1 Sb1 P1'
_cell_length_a 4.956
_cell_length_b 4.956
_cell_length_c 4.956
_cell_angle_alpha 60.00
_cell_angle_beta 60.00
_cell_angle_gamma 60.00
_symmetry_space_group_name_H-M 'P 1'
_symmetry_Int_Tables_number 1
_symmetry_space_group_name_Hall 'P 1'
loop_
_atom_site_label
_atom_site_type_symbol
_atom_site_fract_x
_atom_site_fract_y
_atom_site_fract_z
_atom_site_occupancy
Sb1 Sb 0.500 0.500 0.500 1
K1 K 0.250 0.250 0.250 1
P1 P 0.000 0.000 0.000 1